Compound: Dy5YTe6
Source: the Alexandria database
Functional: GGA-PBE
Structure: optimized geometry

Results
SG = C2/m (12)
Energy relative to the elements, uncorrected = -1285 meV/atom

a = 7.545 Å, b = 7.545 Å, c = 7.585 Å
α = 99.54°, β = 99.54°, γ = 120.51°
Sites, in units of the cell vectors:
Dy1 0.000 0.000 0.000
Dy2 0.166 0.834 0.500
Dy3 0.335 0.665 0.000
Dy4 0.665 0.335 0.000
Dy5 0.834 0.166 0.500
Y1 0.500 0.500 0.500
Te1 0.082 0.417 0.249
Te2 0.249 0.249 0.749
Te3 0.417 0.082 0.249
Te4 0.583 0.918 0.751
Te5 0.751 0.751 0.251
Te6 0.918 0.583 0.751

Compound: Ca3AsF
Source: the Alexandria database
Functional: GGA-PBE
Structure: optimized geometry

Results
SG = Pm-3m (221)
Energy relative to the elements, uncorrected = -1242 meV/atom

a = 4.874 Å, b = 4.874 Å, c = 4.874 Å
α = 90.00°, β = 90.00°, γ = 90.00°
Sites, in units of the cell vectors:
Ca1 0.000 0.000 0.500
Ca2 0.000 0.500 0.000
Ca3 0.500 0.000 0.000
As1 0.500 0.500 0.500
F1 0.000 0.000 0.000

Compound: AgP2PtS
Source: the Alexandria database
Functional: GGA-PBE
Structure: optimized geometry

Results
SG = P4/mmm (123)
Energy relative to the elements, uncorrected = 1500 meV/atom

a = 4.625 Å, b = 4.625 Å, c = 5.118 Å
α = 90.00°, β = 90.00°, γ = 90.00°
Sites, in units of the cell vectors:
Ag1 0.000 0.000 0.000
P1 0.000 0.500 0.000
P2 0.500 0.000 0.000
Pt1 0.000 0.000 0.500
S1 0.500 0.500 0.500

Compound: LiTaCoSe2
Source: the Alexandria database
Functional: GGA-PBE
Structure: optimized geometry

Results
SG = P4/mmm (123)
Energy relative to the elements, uncorrected = 768 meV/atom

a = 4.941 Å, b = 4.941 Å, c = 5.068 Å
α = 90.00°, β = 90.00°, γ = 90.00°
Sites, in units of the cell vectors:
Li1 0.000 0.000 0.000
Ta1 0.000 0.000 0.500
Co1 0.500 0.500 0.000
Se1 0.000 0.500 0.500
Se2 0.500 0.000 0.500

Compound: AlSnP2O8
Source: the Alexandria database
Functional: GGA-PBE
Structure: optimized geometry

Results
SG = R-3 (148)
Energy relative to the elements, uncorrected = -2045 meV/atom

a = 7.527 Å, b = 7.527 Å, c = 7.527 Å
α = 36.52°, β = 36.52°, γ = 36.52°
Sites, in units of the cell vectors:
Al1 0.000 0.000 0.000
Sn1 0.500 0.500 0.500
P1 0.259 0.259 0.259
P2 0.741 0.741 0.741
O1 0.018 0.393 0.751
O2 0.184 0.184 0.184
O3 0.249 0.982 0.607
O4 0.393 0.751 0.018
O5 0.607 0.249 0.982
O6 0.751 0.018 0.393
O7 0.816 0.816 0.816
O8 0.982 0.607 0.249

Compound: MnAlGaCo
Source: the Alexandria database
Functional: GGA-PBE
Structure: optimized geometry

Results
E_form = -0.9 eV per formula unit
SG = F-43m (216)

a = 4.117 Å, b = 4.117 Å, c = 4.117 Å
α = 60.00°, β = 60.00°, γ = 60.00°
Sites, in units of the cell vectors:
Mn1 0.000 0.000 0.000
Al1 0.250 0.250 0.250
Ga1 0.750 0.750 0.750
Co1 0.500 0.500 0.500

Compound: LiPrPt
Source: the Alexandria database
Functional: GGA-PBE
Structure: optimized geometry

Results
E_form = -2.1 eV per formula unit
SG = P-6m2 (187)

a = 4.340 Å, b = 4.340 Å, c = 3.950 Å
α = 90.00°, β = 90.00°, γ = 120.00°
Sites, in units of the cell vectors:
Li1 0.000 0.000 0.000
Pr1 0.333 0.667 0.500
Pt1 0.667 0.333 0.000

Compound: DySc8Cd2
Source: the Alexandria database
Functional: GGA-PBE
Structure: optimized geometry

Results
E_form = 0.8 eV per formula unit
SG = C2/m (12)

a = 8.213 Å, b = 8.213 Å, c = 5.246 Å
α = 102.45°, β = 102.45°, γ = 119.92°
Sites, in units of the cell vectors:
Dy1 0.000 0.000 0.000
Sc1 0.096 0.321 0.629
Sc2 0.219 0.781 0.000
Sc3 0.321 0.096 0.629
Sc4 0.414 0.414 0.205
Sc5 0.586 0.586 0.795
Sc6 0.679 0.904 0.371
Sc7 0.781 0.219 0.000
Sc8 0.904 0.679 0.371
Cd1 0.307 0.693 0.500
Cd2 0.693 0.307 0.500

Final energy
In order: -63.7; -18.7; -16.3; -24.0; -82.8; -23.9; -14.9; -56.3
Unit: eV/cell